# 1
Material: YZrCdOs
Method: DFT, PBE-GGA
State: relaxed

Results
As for the crystal system: cubic. The magnetization is 0.00 μB/atom. The calculation puts the total DFT energy (no corrections) at -6.957 eV/atom. The space-group type is F-43m, No. 216. Its density of states at the Fermi level is 2.4 states/eV/cell.

Cell lengths 4.9103, 4.9103, 4.9103 Å; angles 60.00, 60.00, 60.00 degrees
Closest atoms and distances in Å follow each position.
Positions (direct):
Y  0.7500  0.7500  0.7500  4 Os 3.01, 4 Cd 3.01
Cd  0.0000  0.0000  0.0000  4 Y 3.01, 4 Zr 3.01
Zr  0.2500  0.2500  0.2500  4 Cd 3.01, 4 Os 3.01
Os  0.5000  0.5000  0.5000  4 Zr 3.01, 4 Y 3.01

---

# 2
Material: ZnFeAu2
Method: DFT, PBE-GGA
State: relaxed

Results
As for the crystal system: trigonal. The magnetization is 0.74 μB/atom. The calculation puts the total DFT energy (no corrections) at -4.000 eV/atom. The space-group type is R-3m, No. 166. Its density of states at the Fermi level is 2.7 states/eV/cell.

Cell lengths 9.0148, 9.0148, 9.0148 Å; angles 18.48, 18.48, 18.48 degrees
Closest atoms and distances in Å follow each position.
Positions (direct):
Zn  0.7500  0.7500  0.7500  6 Au 2.80, 6 Zn 2.90
Au  0.5012  0.5012  0.5012  3 Fe 2.75, 3 Zn 2.80, 6 Au 2.90
Au  0.9988  0.9988  0.9988  3 Fe 2.75, 3 Zn 2.80, 6 Au 2.90
Fe  0.2500  0.2500  0.2500  6 Au 2.75, 6 Fe 2.90